This record from the Alexandria database describes an optimized crystal structure of K2TmZnO4. The functional is GGA-PBE.

a b c (Å): 5.895 5.553 5.553
angles (deg): 73.63 57.94 57.94
Each line ends with the local moment (μB).
Fractional positions:
O1 0.113 0.308 0.000  0.20
K1 0.500 0.500 0.500  0.00
Zn1 0.500 0.000 0.000  0.08
O2 0.421 0.692 0.000  0.20
K2 0.000 0.500 0.500  0.00
O3 0.579 0.000 0.308  0.20
Tm1 0.000 0.000 0.000  -0.03
O4 0.887 0.000 0.692  0.20

Summary:
Volume in Å³ per cell: 130.5
Crystal system: tetragonal
Total moment in μB/f.u.: 1.04
Space group: No. 121
ΔE_f (raw) in eV/atom: -1.71
Raw total energy in eV for the cell shown: -41.470